1.
# NaThH4 | the Alexandria database | PBE | relaxed
# * VASP energy: -24.058 eV per formula unit
# * Fermi-level density of states: 0.258 states/eV/atom
# * V: 79.83 Å³/cell
# * total moment: 0.0 μB/f.u.
data_NaThH4
_chemical_formula_sum 'Na1 Th1 H4'
_symmetry_space_group_name_H-M 'P 4/m m m'
_symmetry_Int_Tables_number 123
_symmetry_space_group_name_Hall '-P 4 2'
_cell_length_a 3.7696
_cell_length_b 3.7696
_cell_length_c 5.6180
_cell_angle_alpha 90.00
_cell_angle_beta 90.00
_cell_angle_gamma 90.00
loop_
_atom_site_label
_atom_site_fract_x
_atom_site_fract_y
_atom_site_fract_z
_atom_site_occupancy
Na1 0.0000 0.0000 0.0000 1
Th1 0.5000 0.5000 0.5000 1
H1 0.0000 0.5000 0.2633 1

2.
# NaThH | the Alexandria database | PBE | relaxed
# * VASP energy: -12.333 eV per formula unit
# * Fermi-level density of states: 0.724 states/eV/atom
# * V: 284.65 Å³/cell
# * total moment: 0.0 μB/f.u.
data_NaThH
_chemical_formula_sum 'Na4 Th4 H4'
_symmetry_space_group_name_H-M 'C 1 m 1'
_symmetry_Int_Tables_number 8
_symmetry_space_group_name_Hall 'C -2y'
_cell_length_a 6.2234
_cell_length_b 3.6118
_cell_length_c 12.8052
_cell_angle_alpha 90.00
_cell_angle_beta 98.51
_cell_angle_gamma 90.00
loop_
_atom_site_label
_atom_site_fract_x
_atom_site_fract_y
_atom_site_fract_z
_atom_site_occupancy
Na1 0.0000 0.0000 0.0000 1
Na2 0.0785 0.5000 0.7652 1
Th1 0.1541 0.0000 0.5020 1
Th2 0.4264 0.0000 0.2631 1
H1 0.0136 0.5000 0.5864 1
H2 0.0670 0.0000 0.1787 1

3.
# Na2ThH6 | the Alexandria database | PBE | relaxed
# * VASP energy: -32.445 eV per formula unit
# * V: 223.49 Å³/cell
# * energy relative to the lowest polymorph listed for this composition: 0.00 eV/f.u.
# * total moment: 0.0 μB/f.u.
data_Na2ThH6
_chemical_formula_sum 'Na4 Th2 H12'
_symmetry_space_group_name_H-M 'C 1 2/m 1'
_symmetry_Int_Tables_number 12
_symmetry_space_group_name_Hall '-C 2y'
_cell_length_a 13.4218
_cell_length_b 4.1925
_cell_length_c 4.1751
_cell_angle_alpha 90.00
_cell_angle_beta 107.96
_cell_angle_gamma 90.00
loop_
_atom_site_label
_atom_site_fract_x
_atom_site_fract_y
_atom_site_fract_z
_atom_site_occupancy
Na1 0.2483 0.0000 0.2549 1
Th1 0.0000 0.5000 0.0000 1
H1 0.0780 0.0000 0.1728 1
H2 0.0813 0.5000 0.5795 1
H3 0.1843 0.5000 0.1767 1

4.
# Na5Th3H12 | the Alexandria database | PBE | relaxed
# * VASP energy: -73.428 eV per formula unit
# * Fermi-level density of states: 0.336 states/eV/atom
# * V: 2267.32 Å³/cell
# * total moment: 0.0 μB/f.u.
data_Na5Th3H12
_chemical_formula_sum 'Na40 Th24 H96'
_symmetry_space_group_name_H-M 'I a -3 d'
_symmetry_Int_Tables_number 230
_symmetry_space_group_name_Hall '-I 4bd 2c 3'
_cell_length_a 13.1372
_cell_length_b 13.1372
_cell_length_c 13.1372
_cell_angle_alpha 90.00
_cell_angle_beta 90.00
_cell_angle_gamma 90.00
loop_
_atom_site_label
_atom_site_fract_x
_atom_site_fract_y
_atom_site_fract_z
_atom_site_occupancy
Na1 0.0000 0.0000 0.0000 1
Na2 0.0000 0.2500 0.3750 1
Th1 0.0000 0.2500 0.1250 1
H1 0.0103 0.0752 0.6588 1

5.
# Na3TiH | the Alexandria database | PBE | relaxed
# * VASP energy: -12.081 eV per formula unit
# * Fermi-level density of states: 2.759 states/eV/atom
# * V: 117.60 Å³/cell
# * total moment: 4.0 μB/f.u.
data_Na3TiH
_chemical_formula_sum 'Na3 Ti1 H1'
_symmetry_space_group_name_H-M 'P m -3 m'
_symmetry_Int_Tables_number 221
_symmetry_space_group_name_Hall '-P 4 2 3'
_cell_length_a 4.8993
_cell_length_b 4.8993
_cell_length_c 4.8993
_cell_angle_alpha 90.00
_cell_angle_beta 90.00
_cell_angle_gamma 90.00
loop_
_atom_site_label
_atom_site_fract_x
_atom_site_fract_y
_atom_site_fract_z
_atom_site_occupancy
Na1 0.0000 0.0000 0.5000 1
Ti1 0.5000 0.5000 0.5000 1
H1 0.0000 0.0000 0.0000 1

6.
# NaTiH2 | the Alexandria database | PBE | relaxed
# * VASP energy: -13.920 eV per formula unit
# * Fermi-level density of states: 0.473 states/eV/atom
# * V: 170.78 Å³/cell
# * energy relative to the lowest polymorph listed for this composition: 1.83 eV/f.u.
# * total moment: 1.7 μB/f.u.
data_NaTiH2
_chemical_formula_sum 'Na4 Ti4 H8'
_symmetry_space_group_name_H-M 'F m -3 m'
_symmetry_Int_Tables_number 225
_symmetry_space_group_name_Hall '-F 4 2 3'
_cell_length_a 5.5482
_cell_length_b 5.5482
_cell_length_c 5.5482
_cell_angle_alpha 90.00
_cell_angle_beta 90.00
_cell_angle_gamma 90.00
loop_
_atom_site_label
_atom_site_fract_x
_atom_site_fract_y
_atom_site_fract_z
_atom_site_occupancy
Na1 0.0000 0.0000 0.0000 1
Ti1 0.0000 0.0000 0.5000 1
H1 0.2500 0.2500 0.2500 1

7.
# NaTiH3 | the Alexandria database | PBE | relaxed
# * VASP energy: -16.359 eV per formula unit
# * Fermi-level density of states: 1.243 states/eV/atom
# * V: 47.20 Å³/cell
# * energy relative to the lowest polymorph listed for this composition: 3.50 eV/f.u.
# * total moment: 0.0 μB/f.u.
data_NaTiH3
_chemical_formula_sum 'Na1 Ti1 H3'
_symmetry_space_group_name_H-M 'P m -3 m'
_symmetry_Int_Tables_number 221
_symmetry_space_group_name_Hall '-P 4 2 3'
_cell_length_a 3.6139
_cell_length_b 3.6139
_cell_length_c 3.6139
_cell_angle_alpha 90.00
_cell_angle_beta 90.00
_cell_angle_gamma 90.00
loop_
_atom_site_label
_atom_site_fract_x
_atom_site_fract_y
_atom_site_fract_z
_atom_site_occupancy
Na1 0.0000 0.0000 0.0000 1
Ti1 0.5000 0.5000 0.5000 1
H1 0.0000 0.0000 0.5000 1

8.
# NaTiH3 | the Alexandria database | PBE | relaxed
# * VASP energy: -19.857 eV per formula unit
# * Fermi-level density of states: 0.630 states/eV/atom
# * V: 51.46 Å³/cell
# * energy relative to the lowest polymorph listed for this composition: 0.00 eV/f.u.
# * total moment: 0.9 μB/f.u.
data_NaTiH3
_chemical_formula_sum 'Na1 Ti1 H3'
_symmetry_space_group_name_H-M 'P m -3 m'
_symmetry_Int_Tables_number 221
_symmetry_space_group_name_Hall '-P 4 2 3'
_cell_length_a 3.7195
_cell_length_b 3.7195
_cell_length_c 3.7195
_cell_angle_alpha 90.00
_cell_angle_beta 90.00
_cell_angle_gamma 90.00
loop_
_atom_site_label
_atom_site_fract_x
_atom_site_fract_y
_atom_site_fract_z
_atom_site_occupancy
Na1 0.0000 0.0000 0.0000 1
Ti1 0.5000 0.5000 0.5000 1
H1 0.0000 0.5000 0.5000 1